{
  "formula": "KWN2F",
  "functional": "PBE with a Hubbard U",
  "state": "optimized geometry",
  "magmom_total_mub_per_cell": 0.423,
  "total_energy_ev_per_fu": -30.2,
  "cell": [[4.009, 0.000, 0.000], [0.000, 4.009, 0.000], [0.000, 0.000, 4.381]],
  "species": ["N", "N", "F", "W", "K"],
  "frac_coords": [[0.000, 0.500, 0.000], [0.500, 0.000, 0.000], [0.000, 0.000, 0.500], [0.000, 0.000, 0.000], [0.500, 0.500, 0.500]]
}